Mn3Re after structural relaxation, computed with PBE.

```
Mn3Re
1.0
2.613 0.000 0.000
-1.306 2.263 0.000
0.000 0.000 8.186
Mn Re
3 1
Direct
0.000 0.000 0.000
0.667 0.333 0.235
0.667 0.333 0.765
0.000 0.000 0.500
```

Properties
* crystal system: hexagonal
* SG: No. 187

---

MnRe5 after structural relaxation, computed with PBE.

```
MnRe5
1.0
4.751 0.000 0.000
-2.375 4.114 0.000
0.000 0.000 4.424
Mn Re
1 5
Direct
0.000 0.000 0.000
0.000 0.674 0.500
0.326 0.326 0.500
0.333 0.667 0.000
0.667 0.333 0.000
0.674 0.000 0.500
```

Properties
* crystal system: hexagonal
* SG: No. 189

---

Mn3Re after structural relaxation, computed with PBE.

```
Mn3Re
1.0
5.264 0.000 0.000
0.000 7.251 0.000
0.000 0.000 2.640
Mn Re
6 2
Direct
0.000 0.000 0.000
0.250 0.250 0.500
0.250 0.750 0.500
0.500 0.500 0.000
0.750 0.250 0.500
0.750 0.750 0.500
0.000 0.500 0.000
0.500 0.000 0.000
```

Properties
* crystal system: orthorhombic
* SG: No. 65

---

Mn5Re after structural relaxation, computed with PBE.

```
Mn5Re
1.0
2.595 0.000 0.000
0.000 2.595 0.000
0.000 0.000 10.794
Mn Re
5 1
Direct
0.000 0.000 0.000
0.000 0.000 0.317
0.000 0.000 0.683
0.500 0.500 0.161
0.500 0.500 0.839
0.500 0.500 0.500
```

Properties
* crystal system: tetragonal
* SG: No. 123

---

Mn2Re after structural relaxation, computed with PBE.

```
Mn2Re
1.0
2.654 0.000 0.000
0.000 3.959 0.000
0.000 0.000 14.748
Mn Re
8 4
Direct
0.000 0.250 0.033
0.000 0.250 0.189
0.000 0.750 0.811
0.000 0.750 0.967
0.500 0.250 0.311
0.500 0.250 0.467
0.500 0.750 0.533
0.500 0.750 0.689
0.000 0.250 0.627
0.000 0.750 0.373
0.500 0.250 0.873
0.500 0.750 0.127
```

Properties
* crystal system: orthorhombic
* SG: No. 74

---

Mn4Re5 after structural relaxation, computed with PBE.

```
Mn4Re5
1.0
7.244 0.000 0.000
-3.622 6.273 0.000
0.000 0.000 5.279
Mn Re
8 10
Direct
0.000 0.000 0.000
0.000 0.000 0.500
0.000 0.335 0.250
0.000 0.665 0.750
0.335 0.000 0.250
0.335 0.335 0.750
0.665 0.000 0.750
0.665 0.665 0.250
0.000 0.325 0.750
0.000 0.675 0.250
0.325 0.000 0.750
0.325 0.325 0.250
0.333 0.667 0.000
0.333 0.667 0.500
0.667 0.333 0.000
0.667 0.333 0.500
0.675 0.000 0.250
0.675 0.675 0.750
```

Properties
* crystal system: hexagonal
* SG: No. 193

---

Mn2Re after structural relaxation, computed with PBE.

```
Mn2Re
1.0
0.000 3.302 3.302
3.302 0.000 3.302
3.302 3.302 0.000
Mn Re
4 2
Direct
0.000 0.000 0.000
0.000 0.000 0.500
0.000 0.500 0.000
0.500 0.000 0.000
0.375 0.375 0.375
0.625 0.625 0.625
```

Properties
* crystal system: cubic
* SG: No. 227

---

Mn3Re after structural relaxation, computed with PBE.

```
Mn3Re
1.0
2.617 0.000 0.000
0.000 8.339 0.000
0.000 0.000 4.412
Mn Re
6 2
Direct
0.000 0.000 0.000
0.000 0.262 0.645
0.000 0.738 0.645
0.500 0.238 0.145
0.500 0.500 0.500
0.500 0.762 0.145
0.000 0.500 0.002
0.500 0.000 0.502
```

Properties
* crystal system: orthorhombic
* SG: No. 44

---

Mn5Re3 after structural relaxation, computed with PBE.

```
Mn5Re3
1.0
7.259 0.000 0.000
-3.630 6.287 0.000
0.000 0.000 4.775
Mn Re
10 6
Direct
0.000 0.219 0.250
0.000 0.781 0.750
0.219 0.000 0.250
0.219 0.219 0.750
0.333 0.667 0.000
0.333 0.667 0.500
0.667 0.333 0.000
0.667 0.333 0.500
0.781 0.000 0.750
0.781 0.781 0.250
0.000 0.411 0.750
0.000 0.589 0.250
0.411 0.000 0.750
0.411 0.411 0.250
0.589 0.000 0.250
0.589 0.589 0.750
```

Properties
* crystal system: hexagonal
* SG: No. 193

---

Mn5Re after structural relaxation, computed with PBE.

```
Mn5Re
1.0
4.551 0.000 0.000
-2.276 3.941 0.000
0.000 0.000 3.993
Mn Re
5 1
Direct
0.000 0.500 0.000
0.333 0.667 0.500
0.500 0.000 0.000
0.500 0.500 0.000
0.667 0.333 0.500
0.000 0.000 0.500
```

Properties
* crystal system: hexagonal
* SG: No. 191

---

Mn2Re after structural relaxation, computed with PBE.

```
Mn2Re
1.0
5.030 0.000 0.000
0.000 3.987 0.000
0.000 0.000 7.410
Mn Re
8 4
Direct
0.052 0.250 0.233
0.157 0.250 0.563
0.343 0.750 0.063
0.448 0.750 0.733
0.552 0.250 0.267
0.657 0.250 0.937
0.843 0.750 0.437
0.948 0.750 0.767
0.172 0.250 0.899
0.328 0.750 0.399
0.672 0.250 0.601
0.828 0.750 0.101
```

Properties
* crystal system: orthorhombic
* SG: No. 62

---

Mn2Re after structural relaxation, computed with PBE.

```
Mn2Re
1.0
5.665 0.000 0.000
0.000 5.665 0.000
0.000 0.000 5.665
Mn Re
8 4
Direct
0.250 0.250 0.250
0.250 0.250 0.750
0.250 0.750 0.250
0.250 0.750 0.750
0.750 0.250 0.250
0.750 0.250 0.750
0.750 0.750 0.250
0.750 0.750 0.750
0.000 0.000 0.000
0.000 0.500 0.500
0.500 0.000 0.500
0.500 0.500 0.000
```

Properties
* crystal system: cubic
* SG: No. 225

---

Calculated volume? In order: 12.10 14.41 12.60 12.11 12.91 13.33 12.01 12.04 13.62 11.94 12.38 15.15 Å³ per atom.
Energy of formation from the pure elements? In order: 0.15 0.04 0.07 0.06 0.34 0.14 -0.08 0.09 0.34 0.29 0.11 0.66 eV/atom.